3
Lattice="4.257 0.000 0.000 -2.129 3.687 0.000 0.000 0.000 4.594" Properties=species:S:1:pos:R:3 comment="SrRh2, relaxed, DFT PBE" spacegroup="No. 191" delta_e_f_ev_per_atom=-0.036 pbc="T T T"
Sr 0.000 0.000 0.000
Rh 0.000 2.458 2.297
Rh 2.129 1.229 2.297